Density functional theory data (meta-GGA SCAN) for a crystal of FeSbF3 relaxed with PBEsol. Values from VASP.

Computed properties:
DFT total energy = -14.56 eV/atom
Symmetry = No. 221
Formation energy (no corrections) = -1.36 eV per atom

The structure in Quantum ESPRESSO input format:
```
&SYSTEM
  ibrav = 0, nat = 5, ntyp = 3
/
ATOMIC_SPECIES
F 19.00 F.upf
Sb 121.76 Sb.upf
Fe 55.84 Fe.upf
ATOMIC_POSITIONS angstrom
F -0.5452 1.8059 -0.8241
F -1.2119 0.3740 1.6214
Sb -3.3292 1.2653 -0.1668
F -1.5721 -0.9146 -0.9641
Fe 0.0000 0.0000 0.0000
CELL_PARAMETERS angstrom
-1.0904 3.6118 -1.6481
-3.1442 -1.8291 -1.9283
-2.4238 0.7480 3.2428
```